# SrLaTc2 (PBE-GGA, relaxed)
# Polymorph energy (0 for the lowest one) in kJ/mol of atoms: 57.6
# V in Å³/cell: 274
# ΔE_f in eV per atom: 0.901
data_SrLaTc2
_space_group_name_H-M_alt 'P 1'
_space_group_IT_number 1
_space_group_name_Hall 'P 1'
_cell_length_a 3.3978
_cell_length_b 3.3978
_cell_length_c 27.3774
_cell_angle_alpha 90.00
_cell_angle_beta 90.00
_cell_angle_gamma 120.00
loop_
_atom_site_label
_atom_site_type_symbol
_atom_site_fract_x
_atom_site_fract_y
_atom_site_fract_z
_atom_site_occupancy
Sr1 Sr 0.0000 0.0000 0.0000 1
Sr2 Sr 0.3333 0.6667 0.6667 1
Sr3 Sr 0.6667 0.3333 0.3333 1
La1 La 0.0000 0.0000 0.5000 1
La2 La 0.3333 0.6667 0.1667 1
La3 La 0.6667 0.3333 0.8333 1
Tc1 Tc 0.0000 0.0000 0.2408 1
Tc2 Tc 0.0000 0.0000 0.7592 1
Tc3 Tc 0.3333 0.6667 0.4258 1
Tc4 Tc 0.3333 0.6667 0.9075 1
Tc5 Tc 0.6667 0.3333 0.0925 1
Tc6 Tc 0.6667 0.3333 0.5742 1


# ZrSO6 (PBE-GGA, relaxed)
# Polymorph energy (0 for the lowest one) in kJ/mol of atoms: 0.0
# V in Å³/cell: 459
# Energy relative to the elements, uncorrected in eV/atom: -1.829
data_ZrSO6
_space_group_name_H-M_alt 'P 1'
_space_group_IT_number 1
_space_group_name_Hall 'P 1'
_cell_length_a 11.5548
_cell_length_b 5.7253
_cell_length_c 6.9438
_cell_angle_alpha 90.00
_cell_angle_beta 90.00
_cell_angle_gamma 90.00
loop_
_atom_site_label
_atom_site_type_symbol
_atom_site_fract_x
_atom_site_fract_y
_atom_site_fract_z
_atom_site_occupancy
Zr1 Zr 0.0704 0.2500 0.1674 1
Zr2 Zr 0.4296 0.7500 0.6674 1
Zr3 Zr 0.5704 0.2500 0.3326 1
Zr4 Zr 0.9296 0.7500 0.8326 1
S1 S 0.1450 0.7500 0.4561 1
S2 S 0.3550 0.2500 0.9561 1
S3 S 0.6450 0.7500 0.0439 1
S4 S 0.8550 0.2500 0.5439 1
O1 O 0.0400 0.7500 0.5776 1
O2 O 0.0532 0.0004 0.9359 1
O3 O 0.0532 0.4996 0.9359 1
O4 O 0.1468 0.5388 0.3333 1
O5 O 0.1468 0.9612 0.3333 1
O6 O 0.2483 0.7500 0.5801 1
O7 O 0.2517 0.2500 0.0801 1
O8 O 0.3532 0.0388 0.8333 1
O9 O 0.3532 0.4612 0.8333 1
O10 O 0.4468 0.9996 0.4359 1
O11 O 0.4468 0.5004 0.4359 1
O12 O 0.4600 0.2500 0.0776 1
O13 O 0.5400 0.7500 0.9224 1
O14 O 0.5532 0.0004 0.5641 1
O15 O 0.5532 0.4996 0.5641 1
O16 O 0.6468 0.5388 0.1667 1
O17 O 0.6468 0.9612 0.1667 1
O18 O 0.7483 0.7500 0.9199 1
O19 O 0.7517 0.2500 0.4199 1
O20 O 0.8532 0.0388 0.6667 1
O21 O 0.8532 0.4612 0.6667 1
O22 O 0.9468 0.9996 0.0641 1
O23 O 0.9468 0.5004 0.0641 1
O24 O 0.9600 0.2500 0.4224 1


# Mg2MnCl (PBE-GGA, relaxed)
# Polymorph energy (0 for the lowest one) in kJ/mol of atoms: 22.2
# V in Å³/cell: 157
# Energy relative to the elements, uncorrected in eV/atom: -0.076
data_Mg2MnCl
_space_group_name_H-M_alt 'P 1'
_space_group_IT_number 1
_space_group_name_Hall 'P 1'
_cell_length_a 6.3727
_cell_length_b 7.9303
_cell_length_c 3.1057
_cell_angle_alpha 90.00
_cell_angle_beta 90.00
_cell_angle_gamma 90.00
loop_
_atom_site_label
_atom_site_type_symbol
_atom_site_fract_x
_atom_site_fract_y
_atom_site_fract_z
_atom_site_occupancy
Mg1 Mg 0.2500 0.2500 0.0000 1
Mg2 Mg 0.2500 0.7500 0.0000 1
Mg3 Mg 0.7500 0.2500 0.0000 1
Mg4 Mg 0.7500 0.7500 0.0000 1
Mn1 Mn 0.0000 0.0000 0.5000 1
Mn2 Mn 0.5000 0.5000 0.5000 1
Cl1 Cl 0.0000 0.5000 0.5000 1
Cl2 Cl 0.5000 0.0000 0.5000 1


# AcZr2SbO8 (PBE-GGA, relaxed)
# V in Å³/cell: 173
# Energy relative to the elements, uncorrected in eV/atom: -2.708
data_AcZr2SbO8
_space_group_name_H-M_alt 'P 1'
_space_group_IT_number 1
_space_group_name_Hall 'P 1'
_cell_length_a 5.0090
_cell_length_b 5.0116
_cell_length_c 6.8881
_cell_angle_alpha 89.95
_cell_angle_beta 89.95
_cell_angle_gamma 88.12
loop_
_atom_site_label
_atom_site_type_symbol
_atom_site_fract_x
_atom_site_fract_y
_atom_site_fract_z
_atom_site_occupancy
Ac1 Ac 0.0000 0.0000 0.0000 1
Zr1 Zr 0.4992 0.4992 0.2568 1
Zr2 Zr 0.5008 0.5008 0.7432 1
Sb1 Sb 0.0000 0.0000 0.5000 1
O1 O 0.2023 0.7983 0.7063 1
O2 O 0.2028 0.7988 0.2937 1
O3 O 0.2912 0.2922 0.4999 1
O4 O 0.3305 0.3326 0.0005 1
O5 O 0.6695 0.6674 0.9995 1
O6 O 0.7088 0.7078 0.5001 1
O7 O 0.7972 0.2012 0.7063 1
O8 O 0.7977 0.2017 0.2937 1


# BeTc4Rh (PBE-GGA, relaxed)
# V in Å³/cell: 91
# ΔE_f in eV per atom: 0.501
data_BeTc4Rh
_space_group_name_H-M_alt 'P 1'
_space_group_IT_number 1
_space_group_name_Hall 'P 1'
_cell_length_a 5.0429
_cell_length_b 5.0429
_cell_length_c 5.0429
_cell_angle_alpha 60.00
_cell_angle_beta 60.00
_cell_angle_gamma 60.00
loop_
_atom_site_label
_atom_site_type_symbol
_atom_site_fract_x
_atom_site_fract_y
_atom_site_fract_z
_atom_site_occupancy
Be1 Be 0.0000 0.0000 0.0000 1
Tc1 Tc 0.3746 0.3746 0.3746 1
Tc2 Tc 0.3746 0.3746 0.8763 1
Tc3 Tc 0.3746 0.8763 0.3746 1
Tc4 Tc 0.8763 0.3746 0.3746 1
Rh1 Rh 0.7500 0.7500 0.7500 1


# La2MgCd3Ag12 (PBE-GGA, relaxed)
# V in Å³/cell: 390
# ΔE_f in eV per atom: -0.005
data_La2MgCd3Ag12
_space_group_name_H-M_alt 'P 1'
_space_group_IT_number 1
_space_group_name_Hall 'P 1'
_cell_length_a 7.3499
_cell_length_b 7.3499
_cell_length_c 7.3499
_cell_angle_alpha 83.43
_cell_angle_beta 83.43
_cell_angle_gamma 83.43
loop_
_atom_site_label
_atom_site_type_symbol
_atom_site_fract_x
_atom_site_fract_y
_atom_site_fract_z
_atom_site_occupancy
La1 La 0.2059 0.2059 0.2059 1
La2 La 0.7941 0.7941 0.7941 1
Mg1 Mg 0.5000 0.5000 0.5000 1
Cd1 Cd 0.0000 0.5000 0.5000 1
Cd2 Cd 0.5000 0.0000 0.5000 1
Cd3 Cd 0.5000 0.5000 0.0000 1
Ag1 Ag 0.0821 0.0821 0.6366 1
Ag2 Ag 0.0821 0.6366 0.0821 1
Ag3 Ag 0.2262 0.6976 0.6976 1
Ag4 Ag 0.3024 0.3024 0.7738 1
Ag5 Ag 0.3024 0.7738 0.3024 1
Ag6 Ag 0.3634 0.9179 0.9179 1
Ag7 Ag 0.6366 0.0821 0.0821 1
Ag8 Ag 0.6976 0.2262 0.6976 1
Ag9 Ag 0.6976 0.6976 0.2262 1
Ag10 Ag 0.7738 0.3024 0.3024 1
Ag11 Ag 0.9179 0.3634 0.9179 1
Ag12 Ag 0.9179 0.9179 0.3634 1


# FeCu6Sn2S8 (PBE-GGA, relaxed)
# V in Å³/cell: 329
# Energy relative to the elements, uncorrected in eV/atom: -0.211
data_FeCu6Sn2S8
_space_group_name_H-M_alt 'P 1'
_space_group_IT_number 1
_space_group_name_Hall 'P 1'
_cell_length_a 7.7826
_cell_length_b 7.7826
_cell_length_c 5.4375
_cell_angle_alpha 90.00
_cell_angle_beta 90.00
_cell_angle_gamma 90.00
loop_
_atom_site_label
_atom_site_type_symbol
_atom_site_fract_x
_atom_site_fract_y
_atom_site_fract_z
_atom_site_occupancy
Fe1 Fe 0.0000 0.0000 0.0000 1
Cu1 Cu 0.0000 0.5000 0.9618 1
Cu2 Cu 0.2549 0.2549 0.5000 1
Cu3 Cu 0.2549 0.7451 0.5000 1
Cu4 Cu 0.5000 0.0000 0.0382 1
Cu5 Cu 0.7451 0.2549 0.5000 1
Cu6 Cu 0.7451 0.7451 0.5000 1
Sn1 Sn 0.0000 0.0000 0.5000 1
Sn2 Sn 0.5000 0.5000 0.0000 1
S1 S 0.0000 0.2658 0.2257 1
S2 S 0.0000 0.7342 0.2257 1
S3 S 0.2416 0.5000 0.7333 1
S4 S 0.2658 0.0000 0.7743 1
S5 S 0.5000 0.2416 0.2667 1
S6 S 0.5000 0.7584 0.2667 1
S7 S 0.7342 0.0000 0.7743 1
S8 S 0.7584 0.5000 0.7333 1


# Li2SiAg (PBE-GGA, relaxed)
# V in Å³/cell: 121
# Energy relative to the elements, uncorrected in eV/atom: -0.159
data_Li2SiAg
_space_group_name_H-M_alt 'P 1'
_space_group_IT_number 1
_space_group_name_Hall 'P 1'
_cell_length_a 3.8687
_cell_length_b 3.8687
_cell_length_c 8.0587
_cell_angle_alpha 90.00
_cell_angle_beta 90.00
_cell_angle_gamma 90.00
loop_
_atom_site_label
_atom_site_type_symbol
_atom_site_fract_x
_atom_site_fract_y
_atom_site_fract_z
_atom_site_occupancy
Li1 Li 0.0000 0.5000 0.2500 1
Li2 Li 0.0000 0.5000 0.7500 1
Li3 Li 0.5000 0.0000 0.2500 1
Li4 Li 0.5000 0.0000 0.7500 1
Si1 Si 0.0000 0.0000 0.0000 1
Si2 Si 0.5000 0.5000 0.5000 1
Ag1 Ag 0.0000 0.0000 0.5000 1
Ag2 Ag 0.5000 0.5000 0.0000 1


# BaReP2O (PBE-GGA, relaxed)
# Polymorph energy (0 for the lowest one) in kJ/mol of atoms: 228.5
# V in Å³/cell: 139
# Energy relative to the elements, uncorrected in eV/atom: 1.749
data_BaReP2O
_space_group_name_H-M_alt 'P 1'
_space_group_IT_number 1
_space_group_name_Hall 'P 1'
_cell_length_a 5.6991
_cell_length_b 5.6991
_cell_length_c 4.2897
_cell_angle_alpha 90.00
_cell_angle_beta 90.00
_cell_angle_gamma 90.00
loop_
_atom_site_label
_atom_site_type_symbol
_atom_site_fract_x
_atom_site_fract_y
_atom_site_fract_z
_atom_site_occupancy
Ba1 Ba 0.0000 0.0000 0.0000 1
Re1 Re 0.5000 0.5000 0.5000 1
P1 P 0.0000 0.5000 0.0000 1
P2 P 0.5000 0.0000 0.0000 1
O1 O 0.0000 0.0000 0.5000 1


# YSc2S (PBE-GGA, relaxed)
# V in Å³/cell: 389
# Energy relative to the elements, uncorrected in eV/atom: -0.641
data_YSc2S
_space_group_name_H-M_alt 'P 1'
_space_group_IT_number 1
_space_group_name_Hall 'P 1'
_cell_length_a 8.3333
_cell_length_b 8.3333
_cell_length_c 5.6031
_cell_angle_alpha 90.00
_cell_angle_beta 90.00
_cell_angle_gamma 90.00
loop_
_atom_site_label
_atom_site_type_symbol
_atom_site_fract_x
_atom_site_fract_y
_atom_site_fract_z
_atom_site_occupancy
Y1 Y 0.0000 0.0000 0.0000 1
Y2 Y 0.0000 0.5000 0.2500 1
Y3 Y 0.5000 0.0000 0.7500 1
Y4 Y 0.5000 0.5000 0.5000 1
Sc1 Sc 0.1576 0.2500 0.6250 1
Sc2 Sc 0.2500 0.6576 0.8750 1
Sc3 Sc 0.2500 0.8424 0.3750 1
Sc4 Sc 0.3424 0.2500 0.1250 1
Sc5 Sc 0.6576 0.7500 0.1250 1
Sc6 Sc 0.7500 0.1576 0.3750 1
Sc7 Sc 0.7500 0.3424 0.8750 1
Sc8 Sc 0.8424 0.7500 0.6250 1
S1 S 0.0000 0.0000 0.5000 1
S2 S 0.0000 0.5000 0.7500 1
S3 S 0.5000 0.0000 0.2500 1
S4 S 0.5000 0.5000 0.0000 1


Copy entry 9 word for word.
# BaReP2O (PBE-GGA, relaxed)
# Polymorph energy (0 for the lowest one) in kJ/mol of atoms: 228.5
# V in Å³/cell: 139
# Energy relative to the elements, uncorrected in eV/atom: 1.749
data_BaReP2O
_space_group_name_H-M_alt 'P 1'
_space_group_IT_number 1
_space_group_name_Hall 'P 1'
_cell_length_a 5.6991
_cell_length_b 5.6991
_cell_length_c 4.2897
_cell_angle_alpha 90.00
_cell_angle_beta 90.00
_cell_angle_gamma 90.00
loop_
_atom_site_label
_atom_site_type_symbol
_atom_site_fract_x
_atom_site_fract_y
_atom_site_fract_z
_atom_site_occupancy
Ba1 Ba 0.0000 0.0000 0.0000 1
Re1 Re 0.5000 0.5000 0.5000 1
P1 P 0.0000 0.5000 0.0000 1
P2 P 0.5000 0.0000 0.0000 1
O1 O 0.0000 0.0000 0.5000 1


Look up the V of the second one. 459 Å³/cell


Which value of V does entry 10 give? 389 Å³/cell


Among the records above, which one has the lowest V? BeTc4Rh